A plane-wave DFT calculation with PBE was carried out for crystalline ZrAlAgAu at its relaxed geometry.

- Space-group type: F-43m (216)
- Excess energy over the best structure of this formula in the dataset: 0.000 eV per atom

Lattice parameters (Å, degrees): 4.698 4.698 4.698 60.00 60.00 60.00
Sites, in units of the cell vectors:
Ag1 0.500 0.500 0.500
Al1 0.250 0.250 0.250
Au1 0.000 0.000 0.000
Zr1 0.750 0.750 0.750



A plane-wave DFT calculation with PBE was carried out for crystalline ZrAlAgAu at its relaxed geometry.

- Space-group type: F-43m (216)
- Excess energy over the best structure of this formula in the dataset: 0.064 eV per atom

Lattice parameters (Å, degrees): 4.699 4.699 4.699 60.00 60.00 60.00
Sites, in units of the cell vectors:
Ag1 0.250 0.250 0.250
Al1 0.500 0.500 0.500
Au1 0.000 0.000 0.000
Zr1 0.750 0.750 0.750



A plane-wave DFT calculation with PBE was carried out for crystalline AlAgB4 at its relaxed geometry.

- Space-group type: Immm (71)
- Excess energy over the best structure of this formula in the dataset: 0.145 eV per atom

Lattice parameters (Å, degrees): 4.669 4.669 4.669 141.59 110.93 81.90
Sites, in units of the cell vectors:
Ag1 0.500 0.500 0.000
Al1 0.000 0.000 0.000
B1 0.588 0.260 0.328
B2 0.069 0.740 0.328
B3 0.931 0.260 0.672
B4 0.412 0.740 0.672



A plane-wave DFT calculation with PBE was carried out for crystalline Al2AgB at its relaxed geometry.

- Space-group type: F-43m (216)

Lattice parameters (Å, degrees): 4.398 4.398 4.398 60.00 60.00 60.00
Sites, in units of the cell vectors:
Ag1 0.750 0.750 0.750
Al1 0.250 0.250 0.250
Al2 0.500 0.500 0.500
B1 0.000 0.000 0.000



A plane-wave DFT calculation with PBE was carried out for crystalline AlAgB4 at its relaxed geometry.

- Space-group type: P6/mmm (191)
- Excess energy over the best structure of this formula in the dataset: 0.000 eV per atom

Lattice parameters (Å, degrees): 3.035 3.035 7.144 90.00 90.00 120.00
Sites, in units of the cell vectors:
Ag1 0.000 0.000 0.500
Al1 0.000 0.000 0.000
B1 0.667 0.333 0.214
B2 0.333 0.667 0.214
B3 0.667 0.333 0.786
B4 0.333 0.667 0.786



A plane-wave DFT calculation with PBE was carried out for crystalline AlFe6AgB at its relaxed geometry.

- Space-group type: F-43m (216)

Lattice parameters (Å, degrees): 6.494 6.494 6.494 60.00 60.00 60.00
Site moments in Bohr magnetons follow the coordinates.
Sites, in units of the cell vectors:
Ag1 0.500 0.500 0.500  0.09
Al1 0.000 0.000 0.000  -0.11
B1 0.250 0.250 0.250  -0.08
Fe1 0.760 0.240 0.240  2.93
Fe2 0.240 0.760 0.240  2.96
Fe3 0.760 0.760 0.240  2.88
Fe4 0.240 0.240 0.760  2.85
Fe5 0.760 0.240 0.760  2.97
Fe6 0.240 0.760 0.760  2.90



A plane-wave DFT calculation with PBE was carried out for crystalline Al2AgB2O7 at its relaxed geometry.

- Space-group type: R32 (155)

Lattice parameters (Å, degrees): 8.212 8.212 8.212 33.88 33.88 33.88
Sites, in units of the cell vectors:
Ag1 0.000 0.000 0.000
Al1 0.427 0.427 0.427
Al2 0.573 0.573 0.573
B1 0.268 0.268 0.268
B2 0.732 0.732 0.732
O1 0.708 0.458 0.029
O2 0.971 0.542 0.292
O3 0.029 0.708 0.458
O4 0.500 0.500 0.500
O5 0.292 0.971 0.542
O6 0.458 0.029 0.708
O7 0.542 0.292 0.971



A plane-wave DFT calculation with PBE was carried out for crystalline BaAl2Ag3 at its relaxed geometry.

- Space-group type: Cmcm (63)

Lattice parameters (Å, degrees): 7.092 7.092 5.562 90.00 90.00 76.46
Sites, in units of the cell vectors:
Ag1 0.435 0.565 0.250
Ag2 0.026 0.578 0.250
Ag3 0.422 0.974 0.250
Ag4 0.578 0.026 0.750
Ag5 0.974 0.422 0.750
Ag6 0.565 0.435 0.750
Al1 0.297 0.297 0.000
Al2 0.703 0.703 0.000
Al3 0.297 0.297 0.500
Al4 0.703 0.703 0.500
Ba1 0.827 0.173 0.250
Ba2 0.173 0.827 0.750



Computed E, in the same sequence as the records: -4.959 -4.895 -5.240 -3.459 -5.385 -4.974 -7.058 -3.260 eV per atom.